1.
## LiNiSnMo (GGA-PBE)

Data for a geometry-optimized LiNiSnMo structure.

The space group is F-43m (No. 216) and the conventional cell measures 6.153, 6.153 and 6.153 Å, with angles of 90.00, 90.00 and 90.00 degrees. The inequivalent atoms are Li at (0.000, 0.000, 0.000), Ni at (0.000, 0.000, 0.500), Sn at (0.250, 0.250, 0.250) and Mo at (0.250, 0.250, 0.750).

The calculation puts the polymorph energy (0 for the lowest one) at 0 meV per atom.

=====

2.
## LiNiSnMo (GGA-PBE)

Data for a geometry-optimized LiNiSnMo structure.

The space group is F-43m (No. 216) and the conventional cell measures 6.267, 6.267 and 6.267 Å, with angles of 90.00, 90.00 and 90.00 degrees. The inequivalent atoms are Li at (0.000, 0.000, 0.000), Ni at (0.250, 0.250, 0.750), Sn at (0.000, 0.000, 0.500) and Mo at (0.250, 0.250, 0.250).

The calculation puts the polymorph energy (0 for the lowest one) at 109 meV per atom.

=====

3.
## LiMo2Os (GGA-PBE)

Data for a geometry-optimized LiMo2Os structure.

The space group is F-43m (No. 216) and the conventional cell measures 6.126, 6.126 and 6.126 Å, with angles of 90.00, 90.00 and 90.00 degrees. The inequivalent atoms are Li at (0.000, 0.000, 0.000), Mo at (0.000, 0.000, 0.500), Mo at (0.250, 0.250, 0.750) and Os at (0.250, 0.250, 0.250).

=====

4.
## LiTlMoOs (GGA-PBE)

Data for a geometry-optimized LiTlMoOs structure.

The space group is F-43m (No. 216) and the conventional cell measures 6.335, 6.335 and 6.335 Å, with angles of 90.00, 90.00 and 90.00 degrees. The inequivalent atoms are Li at (0.000, 0.000, 0.000), Tl at (0.250, 0.250, 0.250), Mo at (0.250, 0.250, 0.750) and Os at (0.000, 0.000, 0.500).

The calculation puts the polymorph energy (0 for the lowest one) at 0 meV per atom.

=====

5.
## LiYMoOs (GGA-PBE)

Data for a geometry-optimized LiYMoOs structure.

The space group is F-43m (No. 216) and the conventional cell measures 6.436, 6.436 and 6.436 Å, with angles of 90.00, 90.00 and 90.00 degrees. The inequivalent atoms are Li at (0.000, 0.000, 0.000), Y at (0.250, 0.250, 0.250), Mo at (0.000, 0.000, 0.500) and Os at (0.250, 0.250, 0.750).

The calculation puts the polymorph energy (0 for the lowest one) at 23 meV per atom.

=====

6.
## LiYMoOs (GGA-PBE)

Data for a geometry-optimized LiYMoOs structure.

The space group is F-43m (No. 216) and the conventional cell measures 6.507, 6.507 and 6.507 Å, with angles of 90.00, 90.00 and 90.00 degrees. The inequivalent atoms are Li at (0.000, 0.000, 0.000), Y at (0.250, 0.250, 0.250), Mo at (0.250, 0.250, 0.750) and Os at (0.000, 0.000, 0.500).

The calculation puts the polymorph energy (0 for the lowest one) at 0 meV per atom.

=====

7.
## LiYMoOs (GGA-PBE)

Data for a geometry-optimized LiYMoOs structure.

The space group is F-43m (No. 216) and the conventional cell measures 6.542, 6.542 and 6.542 Å, with angles of 90.00, 90.00 and 90.00 degrees. The inequivalent atoms are Li at (0.000, 0.000, 0.000), Y at (0.000, 0.000, 0.500), Mo at (0.250, 0.250, 0.250) and Os at (0.250, 0.250, 0.750).

The calculation puts the polymorph energy (0 for the lowest one) at 574 meV per atom.

=====

8.
## LiMo6P4 (GGA-PBE)

Data for a geometry-optimized LiMo6P4 structure.

The space group is P-6m2 (No. 187) and the conventional cell measures 7.6716, 7.6716 and 3.1723 Å, with angles of 90.00, 90.00 and 120.00 degrees. The inequivalent atoms are Li at (0.0000, 0.0000, 0.0000), Mo at (0.1988, 0.3976, 0.5000), Mo at (0.5430, 0.0860, 0.0000), P at (0.3333, 0.6667, 0.0000) and P at (0.3394, 0.1697, 0.5000).

=====

9.
## Li4MoP2 (GGA-PBE)

Data for a geometry-optimized Li4MoP2 structure.

The space group is R-3m (No. 166, hexagonal axes) and the conventional cell measures 3.9777, 3.9777 and 20.0767 Å, with angles of 90.00, 90.00 and 120.00 degrees. The inequivalent atoms are Li at (0.0000, 0.0000, 0.0895), Li at (0.0000, 0.0000, 0.3644), Mo at (0.0000, 0.0000, 0.5000) and P at (0.0000, 0.0000, 0.2344).

=====

10.
## LiPaMo (GGA-PBE)

Data for a geometry-optimized LiPaMo structure.

The space group is F-43m (No. 216) and the conventional cell measures 6.053, 6.053 and 6.053 Å, with angles of 90.00, 90.00 and 90.00 degrees. The inequivalent atoms are Li at (0.000, 0.000, 0.000), Pa at (0.250, 0.250, 0.250) and Mo at (0.250, 0.250, 0.750).

=====

11.
## LiMoPb2 (GGA-PBE)

Data for a geometry-optimized LiMoPb2 structure.

The space group is F-43m (No. 216) and the conventional cell measures 7.257, 7.257 and 7.257 Å, with angles of 90.00, 90.00 and 90.00 degrees. The inequivalent atoms are Li at (0.000, 0.000, 0.000), Mo at (0.250, 0.250, 0.250), Pb at (0.000, 0.000, 0.500) and Pb at (0.250, 0.250, 0.750).

=====

12.
## Li2MoPb (GGA-PBE)

Data for a geometry-optimized Li2MoPb structure.

The space group is F-43m (No. 216) and the conventional cell measures 6.608, 6.608 and 6.608 Å, with angles of 90.00, 90.00 and 90.00 degrees. The inequivalent atoms are Li at (0.000, 0.000, 0.000), Li at (0.250, 0.250, 0.250), Mo at (0.250, 0.250, 0.750) and Pb at (0.000, 0.000, 0.500).

=====

no.,energy (eV per atom),V (Å³/cell)
1,-5.45,233
2,-5.34,246
3,-8.44,230
4,-6.27,254
5,-7.42,267
6,-7.45,275
7,-6.87,280
8,-8.50,162
9,-4.54,275
10,-6.57,222
11,-4.33,382
12,-4.22,289